Density functional theory data (GGA-PBE) for a geometry-optimized SmAgHg5 structure.

abc: 4.888 4.888 7.347
angles: 90.00 90.00 90.00
Sites, in units of the cell vectors:
Sm 0.000 0.000 0.000
Ag 0.000 0.000 0.500
Hg 0.000 0.500 0.287
Hg 0.000 0.500 0.713
Hg 0.500 0.000 0.287
Hg 0.500 0.000 0.713
Hg 0.500 0.500 0.000

Space group   P4/mmm, No. 123
Energy relative to the elements   -0.205 eV/atom


Density functional theory data (GGA-PBE) for a geometry-optimized AcNd2Ir2 structure.

abc: 7.062 7.062 10.469
angles: 90.00 90.00 146.61
Sites, in units of the cell vectors:
Ac 0.098 0.902 0.750
Ac 0.902 0.098 0.250
Nd 0.357 0.643 0.570
Nd 0.357 0.643 0.930
Nd 0.643 0.357 0.070
Nd 0.643 0.357 0.430
Ir 0.000 0.000 0.000
Ir 0.000 0.000 0.500
Ir 0.238 0.762 0.250
Ir 0.762 0.238 0.750

Space group   Cmcm, No. 63
Energy relative to the lowest polymorph listed for this composition   0.053 eV/atom
Energy relative to the elements   -0.546 eV/atom


Density functional theory data (GGA-PBE) for a geometry-optimized Ac4UO10 structure.

abc: 7.092 7.092 7.092
angles: 99.66 99.66 131.63
Sites, in units of the cell vectors:
Ac 0.100 0.300 0.399
Ac 0.300 0.900 0.200
Ac 0.700 0.100 0.800
Ac 0.900 0.700 0.601
U 0.500 0.500 0.000
O 0.098 0.184 0.729
O 0.184 0.455 0.087
O 0.250 0.750 0.500
O 0.368 0.098 0.913
O 0.455 0.368 0.271
O 0.545 0.632 0.729
O 0.632 0.902 0.087
O 0.750 0.250 0.500
O 0.816 0.545 0.913
O 0.902 0.816 0.271

Raw formation energy   -46.117 eV/f.u.
Space group   I4/m, No. 87


Density functional theory data (GGA-PBE) for a geometry-optimized LiY2IrI structure.

abc: 5.628 5.628 4.943
angles: 90.00 90.00 90.00
Sites, in units of the cell vectors:
Li 0.000 0.000 0.000
Y 0.000 0.500 0.500
Y 0.500 0.000 0.500
Ir 0.500 0.500 0.000
I 0.500 0.500 0.500

Raw formation energy   2.714 eV/f.u.
Space group   P4/mmm, No. 123
Energy relative to the lowest polymorph listed for this composition   0.093 eV/atom


Density functional theory data (GGA-PBE) for a geometry-optimized TaNb2CrCd structure.

abc: 4.829 4.829 5.222
angles: 90.00 90.00 90.00
Sites, in units of the cell vectors:
Ta 0.000 0.000 0.000
Nb 0.000 0.500 0.000
Nb 0.500 0.000 0.000
Cr 0.500 0.500 0.500
Cd 0.000 0.000 0.500

Space group   P4/mmm, No. 123
Energy relative to the elements   1.951 eV/atom


Density functional theory data (GGA-PBE) for a geometry-optimized Mg2InGa2Ir5 structure.

abc: 9.316 9.316 3.786
angles: 90.00 90.00 90.00
Sites, in units of the cell vectors:
Mg 0.172 0.328 0.000
Mg 0.328 0.828 0.000
Mg 0.672 0.172 0.000
Mg 0.828 0.672 0.000
In 0.000 0.000 0.000
In 0.500 0.500 0.000
Ga 0.128 0.628 0.000
Ga 0.372 0.128 0.000
Ga 0.628 0.872 0.000
Ga 0.872 0.372 0.000
Ir 0.000 0.500 0.500
Ir 0.062 0.795 0.500
Ir 0.205 0.062 0.500
Ir 0.295 0.562 0.500
Ir 0.438 0.295 0.500
Ir 0.500 0.000 0.500
Ir 0.562 0.705 0.500
Ir 0.705 0.438 0.500
Ir 0.795 0.938 0.500
Ir 0.938 0.205 0.500

Space group   P4/mbm, No. 127
Energy relative to the elements   -0.220 eV/atom


Density functional theory data (GGA-PBE) for a geometry-optimized Rb5InBr8 structure.

abc: 9.869 9.869 9.869
angles: 106.11 106.11 116.43
Sites, in units of the cell vectors:
Rb 0.000 0.000 0.000
Rb 0.154 0.664 0.066
Rb 0.336 0.402 0.490
Rb 0.598 0.087 0.934
Rb 0.913 0.846 0.510
In 0.750 0.250 0.500
Br 0.035 0.357 0.177
Br 0.055 0.344 0.668
Br 0.142 0.965 0.322
Br 0.180 0.858 0.823
Br 0.612 0.945 0.289
Br 0.643 0.820 0.678
Br 0.656 0.323 0.711
Br 0.677 0.388 0.332

Raw formation energy   -19.982 eV/f.u.
Space group   I-4, No. 82


Density functional theory data (GGA-PBE) for a geometry-optimized K2GeBrCl5 structure.

abc: 7.160 7.160 7.160
angles: 120.16 120.16 89.72
Sites, in units of the cell vectors:
K 0.000 0.500 0.500
K 0.500 0.000 0.500
Ge 0.253 0.253 0.000
Br 0.006 0.006 0.000
Cl 0.021 0.021 0.538
Cl 0.021 0.483 0.000
Cl 0.482 0.482 0.000
Cl 0.483 0.021 0.000
Cl 0.483 0.483 0.462

Raw formation energy   -11.670 eV/f.u.
Space group   I4mm, No. 107


no.,N(E_F) (states/eV per atom)
1,0.63
2,0.57
3,0.81
4,1.25
5,1.33
6,0.74
7,0.00
8,0.00